1.
This record from Alexandria describes crystalline Cs2RbHfBr6 at its relaxed geometry. The functional is GGA-PBE.

Cell: 8.396 8.396 8.396 Å, 60.00 60.00 90.00°
Site moments in Bohr magnetons follow the coordinates.
Positions (direct):
Cs 0.750 0.250 0.500  0.00
Cs 0.250 0.750 0.500  0.00
Hf 0.000 0.000 0.000  0.64
Br 0.225 0.225 0.550  0.00
Br 0.775 0.775 0.450  0.00
Br 0.225 0.225 0.000  0.00
Br 0.775 0.775 0.000  0.00
Br 0.775 0.225 0.000  0.00
Br 0.225 0.775 0.000  0.00
Rb 0.500 0.500 0.000  0.00

Properties
Uncorrected formation energy   -1540 meV/atom
Polymorph energy (0 for the lowest one)   9.9 meV per atom
Total moment   1.0 μB/cell
Raw total energy   -0.140 hartree per atom
N(E_F)   10.65 states/eV/cell

2.
This record from Alexandria describes crystalline CsRb2HfBr8 at its relaxed geometry. The functional is GGA-PBE.

Cell: 7.566 6.209 10.134 Å, 73.53 90.08 90.01°
Positions (direct):
Cs 0.000 0.000 0.500
Rb 0.500 0.342 0.812
Rb 0.500 0.658 0.188
Hf 0.000 0.000 0.000
Br 0.001 0.657 0.224
Br 0.754 0.819 0.883
Br 0.755 0.181 0.117
Br 0.999 0.343 0.776
Br 0.246 0.181 0.117
Br 0.245 0.819 0.883
Br 0.500 0.755 0.503
Br 0.500 0.245 0.497

Properties
Uncorrected formation energy   -1499 meV/atom
Total moment   0.0 μB/cell
Raw total energy   -0.135 hartree per atom
N(E_F)   1.43 states/eV/cell

Number 2 is which compound?
CsRb2HfBr8